First-principles (PBE) data for a relaxed structure of Cd2PCl, as listed in the Alexandria database.

Lattice parameters (Å, degrees): 4.052 6.172 7.518 90.00 90.00 90.00
Space group Cmmm (No. 65)
Symmetry-distinct sites (fractional):
Cd  0.000  0.000  0.222
P  0.000  0.500  0.000
Cl  0.000  0.500  0.500

Properties
E_form (uncorrected), eV per atom: -0.060
Uncorrected energy, eV for the cell shown: -18.66



First-principles (PBE) data for a relaxed structure of Cd2PCl, as listed in the Alexandria database.

Lattice parameters (Å, degrees): 4.622 5.305 4.624 90.00 119.96 90.00
Space group Pm (No. 6)
Symmetry-distinct sites (fractional):
Cd  0.000  0.000  0.000
Cd  0.333  0.500  0.664
P  0.000  0.500  0.998
Cl  0.667  0.000  0.333

Properties
E_form (uncorrected), eV per atom: -0.327
Uncorrected energy, eV for the cell shown: -10.40



First-principles (PBE) data for a relaxed structure of Cd2PCl, as listed in the Alexandria database.

Lattice parameters (Å, degrees): 3.196 3.196 9.213 90.00 90.00 90.00
Space group P4mm (No. 99)
Symmetry-distinct sites (fractional):
Cd  0.000  0.000  0.000
Cd  0.500  0.500  0.258
P  0.500  0.500  0.813
Cl  0.000  0.000  0.436

Properties
E_form (uncorrected), eV per atom: 0.137
Uncorrected energy, eV for the cell shown: -8.54



First-principles (PBE) data for a relaxed structure of Cd2PCl, as listed in the Alexandria database.

Lattice parameters (Å, degrees): 4.0440 4.0440 19.5173 90.00 90.00 120.00
Space group R-3m (No. 166, hexagonal axes)
Symmetry-distinct sites (fractional):
Cd  0.0000  0.0000  0.2335
P  0.0000  0.0000  0.5000
Cl  0.0000  0.0000  0.0000

Properties
E_form (uncorrected), eV per atom: -0.322
Uncorrected energy, eV for the cell shown: -31.12